(1)
DFT (GGA-PBE) results for a relaxed structure of NaErHgO3.

a = 3.5351 Å, b = 12.1934 Å, c = 8.7005 Å
α = 90.00°, β = 90.00°, γ = 90.00°
Space group Cmcm (No. 63)
Symmetry-distinct sites (fractional):
Na  0.0000  0.1533  0.2500 [4 per cell]
Er  0.0000  0.5000  0.0000 [4 per cell]
Hg  0.0000  0.1365  0.7500 [4 per cell]
O  0.0000  0.1206  0.5169 [8 per cell]
O  0.0000  0.4699  0.7500 [4 per cell]

Electronic total energy (eV per atom): -5.38

---

(2)
DFT (GGA-PBE) results for a relaxed structure of NaErHgS3.

a = 10.7488 Å, b = 4.0188 Å, c = 13.4164 Å
α = 90.00°, β = 90.00°, γ = 90.00°
Space group Pnma (No. 62)
Symmetry-distinct sites (fractional):
Na  0.2153  0.2500  0.0167 [4 per cell]
Er  0.0108  0.7500  0.2597 [4 per cell]
Hg  0.2381  0.7500  0.8022 [4 per cell]
S  0.0274  0.7500  0.8780 [4 per cell]
S  0.0621  0.2500  0.3916 [4 per cell]
S  0.2365  0.2500  0.6727 [4 per cell]

ΔE to the lowest computed polymorph (meV/atom): 0.0

---

(3)
DFT (GGA-PBE) results for a relaxed structure of NaErHgS3.

a = 4.0136 Å, b = 13.3481 Å, c = 10.6938 Å
α = 90.00°, β = 90.00°, γ = 90.00°
Space group Cmcm (No. 63)
Symmetry-distinct sites (fractional):
Na  0.0000  0.2420  0.2500 [4 per cell]
Er  0.0000  0.5000  0.0000 [4 per cell]
Hg  0.0000  0.0482  0.7500 [4 per cell]
S  0.0000  0.1358  0.5462 [8 per cell]
S  0.0000  0.4194  0.7500 [4 per cell]

ΔE to the lowest computed polymorph (meV/atom): 3.8

---

(4)
DFT (GGA-PBE) results for a relaxed structure of NaErHgSe3.

a = 4.1425 Å, b = 13.8866 Å, c = 11.0719 Å
α = 90.00°, β = 90.00°, γ = 90.00°
Space group Cmcm (No. 63)
Symmetry-distinct sites (fractional):
Na  0.0000  0.2465  0.2500 [4 per cell]
Er  0.0000  0.0000  0.0000 [4 per cell]
Hg  0.0000  0.4575  0.7500 [4 per cell]
Se  0.0000  0.0861  0.7500 [4 per cell]
Se  0.0000  0.3607  0.5479 [8 per cell]

Electronic total energy (eV per atom): -3.87

---

(5)
DFT (GGA-PBE) results for a relaxed structure of NaErHgSe3.

a = 11.0641 Å, b = 4.1378 Å, c = 14.0061 Å
α = 90.00°, β = 90.00°, γ = 90.00°
Space group Pnma (No. 62)
Symmetry-distinct sites (fractional):
Na  0.2268  0.2500  0.0071 [4 per cell]
Er  0.0125  0.7500  0.7450 [4 per cell]
Hg  0.2379  0.7500  0.2126 [4 per cell]
Se  0.0338  0.7500  0.1168 [4 per cell]
Se  0.0660  0.2500  0.6093 [4 per cell]
Se  0.2353  0.2500  0.3380 [4 per cell]

Electronic total energy (eV per atom): -3.87

---

(6)
DFT (GGA-PBE) results for a relaxed structure of NaErHgTe3.

a = 4.3622 Å, b = 14.8875 Å, c = 11.6754 Å
α = 90.00°, β = 90.00°, γ = 90.00°
Space group Cmcm (No. 63)
Symmetry-distinct sites (fractional):
Na  0.0000  0.2315  0.2500 [4 per cell]
Er  0.0000  0.0000  0.0000 [4 per cell]
Hg  0.0000  0.4641  0.7500 [4 per cell]
Te  0.0000  0.0909  0.7500 [4 per cell]
Te  0.0000  0.3584  0.5507 [8 per cell]

ΔE to the lowest computed polymorph (meV/atom): 0.2